First-principles (PBE) data for a relaxed TlOsW2 crystal, as listed in Alexandria via LeMat-Bulk.

SG: P2/m (10)
Energy of formation in eV per atom: 0.648
E_tot in eV/cell: -36.9
Offset from the most stable computed form in meV/atom: 105

Cell and atoms, written as POSCAR:
```
TlOsW2
1.0
-2.602 2.339 -2.160
-0.698 -2.265 -1.612
-4.986 -3.598 2.109
Tl Os W
1 1 2
Direct
0.500 0.750 0.750
0.500 0.250 0.250
0.000 0.964 0.034
0.000 0.536 0.466
```

***

First-principles (PBE) data for a relaxed Pu4PBr5 crystal, as listed in Alexandria via LeMat-Bulk.

E_form (uncorrected) in eV/atom: -1.0905
SG: C2/m (12)
E_tot in eV/cell: -82.0
Offset from the most stable computed form in meV/atom: 208

Cell and atoms, written as POSCAR:
```
Pu4PBr5
1.0
-0.081 1.876 -3.241
-9.226 -2.750 -1.362
-0.014 6.369 5.853
Pu Br P
4 5 1
Direct
0.145 0.079 0.291
0.855 0.921 0.709
0.009 0.759 0.019
0.991 0.241 0.981
0.200 0.814 0.400
0.165 0.380 0.330
0.835 0.620 0.670
0.500 0.500 0.000
0.800 0.186 0.600
0.500 0.000 0.000
```

***

First-principles (PBE) data for a relaxed Tb2NdSm6 crystal, as listed in Alexandria via LeMat-Bulk.

SG: P-3m1 (164)
Energy of formation in eV per atom: 0.211
E_tot in eV/cell: -40.4
Offset from the most stable computed form in meV/atom: 25

Cell and atoms, written as POSCAR:
```
Tb2NdSm6
1.0
6.176 -0.028 -0.016
0.035 7.561 0.007
0.035 3.773 6.552
Nd Sm Tb
1 6 2
Direct
0.000 0.000 0.000
0.709 0.624 0.187
0.291 0.812 0.812
0.291 0.376 0.813
0.709 0.187 0.624
0.709 0.188 0.188
0.291 0.813 0.376
0.216 0.334 0.334
0.784 0.666 0.666
```

***

Q: Which value of E_tot does entry 2 give?
A: -82.0 eV/cell

***

Q: The highest E_tot belongs to which entry?
A: TlOsW2